LiPuCd | PBE | optimized geometry

The structure in CIF format:
```
data_LiPuCd
_symmetry_space_group_name_H-M 'P 1'
_symmetry_Int_Tables_number 1
_cell_length_a 4.9938
_cell_length_b 4.9938
_cell_length_c 4.9938
_cell_angle_alpha 60.00
_cell_angle_beta 60.00
_cell_angle_gamma 60.00
loop_
_symmetry_equiv_pos_as_xyz
'x,y,z'
loop_
_atom_site_label
_atom_site_fract_x
_atom_site_fract_y
_atom_site_fract_z
Pu1 0.0000 0.0000 0.0000
Li1 0.2500 0.2500 0.2500
Cd1 0.7500 0.7500 0.7500
```

Calculated values
VASP energy: -5.0284 eV per atom
Total magnetic moment: 6.742 μB per formula unit



RbLiCd | PBE | optimized geometry

The structure in CIF format:
```
data_RbLiCd
_symmetry_space_group_name_H-M 'P 1'
_symmetry_Int_Tables_number 1
_cell_length_a 5.4945
_cell_length_b 5.4945
_cell_length_c 5.4945
_cell_angle_alpha 60.00
_cell_angle_beta 60.00
_cell_angle_gamma 60.00
loop_
_symmetry_equiv_pos_as_xyz
'x,y,z'
loop_
_atom_site_label
_atom_site_fract_x
_atom_site_fract_y
_atom_site_fract_z
Li1 0.0000 0.0000 0.0000
Cd1 0.2500 0.2500 0.2500
Rb1 0.7500 0.7500 0.7500
```

Calculated values
VASP energy: -1.0712 eV per atom